No. 1
The following is a DFT calculation (PBE) of a relaxed structure of YCdPdAu.

Lattice parameters (Å, degrees): 4.8767 4.8767 4.8767 60.00 60.00 60.00
Closest atoms and distances in Å follow each position.
Positions (direct):
Y 0.7500 0.7500 0.7500  4 Pd 2.99, 4 Au 2.99
Cd 0.2500 0.2500 0.2500  4 Pd 2.99, 4 Au 2.99
Au 0.0000 0.0000 0.0000  4 Cd 2.99, 4 Y 2.99
Pd 0.5000 0.5000 0.5000  4 Y 2.99, 4 Cd 2.99

Results
The total moment is 0.00 μB/f.u. As for the total energy: -18.57 eV/cell. The calculation puts the formation energy from the elements at -262 kJ/mol of formula units. The density of states at the Fermi level comes out at 2.8 states/eV/f.u. The calculation puts the mass density at 10.22 Mg/m³. For the volume, the calculation gives 20.50 Å³/atom.

No. 2
The following is a DFT calculation (PBE) of a relaxed structure of KNaSeS2.

Lattice parameters (Å, degrees): 6.0389 7.0734 6.3023 116.46 90.00 90.00
Closest atoms and distances in Å follow each position.
Positions (direct):
Na 0.5035 0.0000 0.7500  4 S 2.89-2.90, 2 Na 3.15
Na 0.4965 0.0000 0.2500  4 S 2.89-2.90, 2 Na 3.15
S 0.7330 0.6882 0.8458  1 S 2.38, 1 Se 2.55
S 0.2670 0.6882 0.3458  1 S 2.38, 1 Se 2.55
S 0.7330 0.3118 0.6542  1 S 2.38, 1 Se 2.55
S 0.2670 0.3118 0.1542  1 S 2.38, 1 Se 2.55
Se 0.0000 0.0000 0.5000  2 S 2.55
Se 0.0000 0.0000 0.0000  2 S 2.55
K 0.7725 0.5000 0.2500  8 S 3.21-3.39, 2 Se 3.45
K 0.2275 0.5000 0.7500  8 S 3.21-3.39, 2 Se 3.45

Results
The total moment is 0.33 μB/f.u. As for the total energy: -33.84 eV/cell. The density of states at the Fermi level comes out at 2.9 states/eV/f.u. The calculation puts the mass density at 2.83 Mg/m³. For the raw formation energy, the calculation gives -0.553 eV/atom. For the volume, the calculation gives 24.10 Å³/atom.

No. 3
The following is a DFT calculation (PBE) of a relaxed structure of NdZn8Cu2.

Lattice parameters (Å, degrees): 5.2189 5.2189 8.5668 90.00 90.00 90.00
Closest atoms and distances in Å follow each position.
Positions (direct):
Zn 0.2478 0.7522 0.2049  2 Cu 2.55, 4 Zn 2.59-2.63
Zn 0.7522 0.2478 0.7951  2 Cu 2.55, 4 Zn 2.59-2.63
Zn 0.2478 0.2478 0.7951  2 Cu 2.55, 4 Zn 2.59-2.63
Zn 0.7522 0.7522 0.2049  2 Cu 2.55, 4 Zn 2.59-2.63
Zn 0.7522 0.2478 0.2049  2 Cu 2.55, 4 Zn 2.59-2.63
Zn 0.7522 0.7522 0.7951  2 Cu 2.55, 4 Zn 2.59-2.63
Zn 0.2478 0.7522 0.7951  2 Cu 2.55, 4 Zn 2.59-2.63
Zn 0.2478 0.2478 0.2049  2 Cu 2.55, 4 Zn 2.59-2.63
Cu 0.5000 0.0000 0.0000  8 Zn 2.55
Cu 0.0000 0.5000 0.0000  8 Zn 2.55
Nd 0.5000 0.5000 0.5000  8 Zn 3.14

Results
The total moment is 0.00 μB/f.u. As for the total energy: -20.94 eV/cell. The calculation puts the formation energy from the elements at 214 kJ/mol of formula units. The density of states at the Fermi level comes out at 5.3 states/eV/f.u. The calculation puts the mass density at 5.65 Mg/m³. For the volume, the calculation gives 21.21 Å³/atom.

No. 4
The following is a DFT calculation (PBE) of a relaxed structure of BC5.

Lattice parameters (Å, degrees): 4.4686 4.4686 4.4686 147.42 130.63 60.41
Closest atoms and distances in Å follow each position.
Positions (direct):
C 0.5445 0.3276 0.2168  3 C 1.54-1.56, 1 B 1.61
C 0.1761 0.0000 0.1761  2 C 1.54, 2 B 1.68
C 0.8892 0.6724 0.2168  3 C 1.54-1.56, 1 B 1.61
C 0.1263 0.1685 0.9578  4 C 1.54-1.56
C 0.7894 0.8315 0.9578  4 C 1.54-1.56
B 0.4745 0.5000 0.9745  4 C 1.61-1.68

Results
The total moment is 0.00 μB/f.u. As for the total energy: -51.32 eV/cell. The calculation puts the distance to the lowest polymorph of the same formula at 38 meV per atom. The calculation puts the formation energy from the elements at 143 kJ/mol of formula units. The density of states at the Fermi level comes out at 0.5 states/eV/f.u. The calculation puts the mass density at 3.26 Mg/m³. For the volume, the calculation gives 6.02 Å³/atom.

No. 5
The following is a DFT calculation (PBE) of a relaxed structure of Ba3DyTi2O9.

Lattice parameters (Å, degrees): 5.8933 5.8933 7.2729 90.00 90.00 120.00
Closest atoms and distances in Å follow each position.
Positions (direct):
Ba 0.3333 0.6667 0.6817  12 O 2.87-3.10
Ba 0.0000 0.0000 0.0000  12 O 2.92-2.95
Ba 0.6667 0.3333 0.3183  12 O 2.87-3.10
O 0.1766 0.8234 0.3162  1 Ti 1.91
O 0.6469 0.8234 0.3162  1 Ti 1.91
O 0.5000 0.5000 0.0000  2 Ti 2.11
O 0.0000 0.5000 0.0000  2 Ti 2.11
O 0.1766 0.3531 0.3162  1 Ti 1.91
O 0.8234 0.6469 0.6838  1 Ti 1.91
O 0.5000 0.0000 0.0000  2 Ti 2.11
O 0.8234 0.1766 0.6838  1 Ti 1.91
O 0.3531 0.1766 0.6838  1 Ti 1.91
Ti 0.3333 0.6667 0.1721  6 O 1.91-2.11
Ti 0.6667 0.3333 0.8279  6 O 1.91-2.11
Dy 0.0000 0.0000 0.5000  6 O 2.24

Results
The total moment is 1.01 μB/f.u. As for the total energy: -115.47 eV/cell. The density of states at the Fermi level comes out at 7.9 states/eV/f.u. The calculation puts the mass density at 6.18 Mg/m³. For the raw formation energy, the calculation gives -2.979 eV/atom. For the volume, the calculation gives 14.58 Å³/atom.

No. 6
The following is a DFT calculation (PBE) of a relaxed structure of TmZrInRh.

Lattice parameters (Å, degrees): 4.9350 4.9350 4.9350 60.00 60.00 60.00
Closest atoms and distances in Å follow each position.
Positions (direct):
Zr 0.0000 0.0000 0.0000  4 In 3.02, 4 Rh 3.02
Rh 0.2500 0.2500 0.2500  4 Tm 3.02, 4 Zr 3.02
Tm 0.5000 0.5000 0.5000  4 In 3.02, 4 Rh 3.02
In 0.7500 0.7500 0.7500  4 Zr 3.02, 4 Tm 3.02

Results
The total moment is 0.00 μB/f.u. As for the total energy: -24.86 eV/cell. The calculation puts the formation energy from the elements at -169 kJ/mol of formula units. The density of states at the Fermi level comes out at 3.4 states/eV/f.u. The calculation puts the mass density at 9.34 Mg/m³. For the volume, the calculation gives 21.25 Å³/atom.

No. 7
The following is a DFT calculation (PBE) of a relaxed structure of Er2HgS.

Lattice parameters (Å, degrees): 3.7652 3.7652 8.0736 76.52 76.52 60.00
Closest atoms and distances in Å follow each position.
Positions (direct):
Hg 0.4997 0.4997 0.5010  6 Er 3.14
S 0.6679 0.6679 0.9963  6 Er 2.69-2.74
Er 0.2633 0.2633 0.2100  3 S 2.74
Er 0.0691 0.0691 0.7927  3 S 2.69

Results
The total moment is 0.00 μB/f.u. As for the total energy: -18.11 eV/cell. The calculation puts the distance to the lowest polymorph of the same formula at 51 meV per atom. The density of states at the Fermi level comes out at 3.4 states/eV/f.u. The calculation puts the mass density at 9.87 Mg/m³. For the raw formation energy, the calculation gives -1.139 eV/atom. For the volume, the calculation gives 23.87 Å³/atom.

No. 8
The following is a DFT calculation (PBE) of a relaxed structure of LiNiHg2.

Lattice parameters (Å, degrees): 5.1647 5.1647 4.4180 73.61 73.61 37.27
Closest atoms and distances in Å follow each position.
Positions (direct):
Hg 0.9862 0.9862 0.0569  4 Li 2.69-2.84, 3 Ni 2.77-2.85
Hg 0.7533 0.7533 0.7119  3 Li 2.74-2.93, 4 Ni 2.75-2.77
Ni 0.2484 0.2484 0.2127  7 Hg 2.75-2.85, 2 Li 2.83
Li 0.5122 0.5122 0.5186  7 Hg 2.69-2.93, 2 Ni 2.83

Results
The total moment is 0.00 μB/f.u. As for the total energy: -8.40 eV/cell. The calculation puts the formation energy from the elements at -9 kJ/mol of formula units. The density of states at the Fermi level comes out at 1.7 states/eV/f.u. The calculation puts the mass density at 11.38 Mg/m³. For the volume, the calculation gives 17.03 Å³/atom.

No. 9
The following is a DFT calculation (PBE) of a relaxed structure of Pm4PdRu.

Lattice parameters (Å, degrees): 4.9448 4.9469 7.0426 89.94 89.96 90.00
Closest atoms and distances in Å follow each position.
Positions (direct):
Pm 0.0015 0.4977 0.7397  2 Ru 3.00, 2 Pd 3.07
Pm 0.5011 0.9968 0.2566  2 Ru 3.00, 2 Pd 3.07
Pm 0.0011 0.4969 0.2566  2 Ru 3.00-3.01, 2 Pd 3.07
Pm 0.5015 0.9977 0.7397  2 Ru 3.00, 2 Pd 3.07
Ru 0.0013 0.9974 0.4982  8 Pm 3.00-3.01
Pd 0.5013 0.4973 0.9981  8 Pm 3.07

Results
The total moment is 0.00 μB/f.u. As for the total energy: -35.30 eV/cell. The calculation puts the distance to the lowest polymorph of the same formula at 53 meV per atom. The calculation puts the formation energy from the elements at -176 kJ/mol of formula units. The density of states at the Fermi level comes out at 5.3 states/eV/f.u. The calculation puts the mass density at 7.59 Mg/m³. For the volume, the calculation gives 28.71 Å³/atom.

No. 10
The following is a DFT calculation (PBE) of a relaxed structure of LaZrSc2.

Lattice parameters (Å, degrees): 5.1666 3.2899 6.4902 75.36 90.00 90.00
Closest atoms and distances in Å follow each position.
Positions (direct):
Zr 0.0000 0.4613 0.4529  7 Sc 3.22-3.51, 2 Zr 3.29
Sc 0.0000 0.1818 0.0113  4 Sc 3.04-3.29, 2 Zr 3.22
Sc 0.5000 0.0548 0.2652  4 Sc 3.04-3.29, 1 La 3.17, 4 Zr 3.28
La 0.5000 0.8021 0.7706  7 Sc 3.17-3.52, 2 La 3.29

Results
The total moment is 0.00 μB/f.u. As for the total energy: -25.78 eV/cell. The calculation puts the distance to the lowest polymorph of the same formula at 36 meV per atom. The calculation puts the formation energy from the elements at 34 kJ/mol of formula units. The density of states at the Fermi level comes out at 5.8 states/eV/f.u. The calculation puts the mass density at 4.98 Mg/m³. For the volume, the calculation gives 26.68 Å³/atom.

No. 11
The following is a DFT calculation (PBE) of a relaxed structure of Ce2Pa2Te7.

Lattice parameters (Å, degrees): 4.3036 9.6852 9.6852 60.88 77.16 77.16
Closest atoms and distances in Å follow each position.
Positions (direct):
Te 0.5000 0.0100 0.9900  3 Ce 3.07-3.19
Te 0.8194 0.0752 0.2859  3 Pa 3.09-3.18, 1 Ce 3.16
Te 0.6134 0.4889 0.2843  2 Pa 3.18, 3 Ce 3.27-3.29
Te 0.1806 0.7141 0.9248  3 Pa 3.09-3.18, 1 Ce 3.16
Te 0.3866 0.7157 0.5111  2 Pa 3.18, 3 Ce 3.27-3.29
Te 0.1461 0.1351 0.5727  2 Pa 3.20, 2 Ce 3.22
Te 0.8539 0.4273 0.8649  2 Pa 3.20, 2 Ce 3.22
Pa 0.2585 0.3385 0.1445  7 Te 3.09-3.20
Pa 0.7415 0.8555 0.6615  7 Te 3.09-3.20
Ce 0.0000 0.7704 0.2296  8 Te 3.16-3.27
Ce 0.5000 0.3232 0.6768  7 Te 3.07-3.29

Results
The total moment is 3.61 μB/f.u. As for the total energy: -64.53 eV/cell. The calculation puts the distance to the lowest polymorph of the same formula at 0 meV per atom. The density of states at the Fermi level comes out at 19.6 states/eV/f.u. The calculation puts the mass density at 7.97 Mg/m³. For the raw formation energy, the calculation gives -1.062 eV/atom. For the volume, the calculation gives 30.98 Å³/atom.

No. 12
The following is a DFT calculation (PBE) of a relaxed structure of CrGa2PtAu.

Lattice parameters (Å, degrees): 4.6255 4.8671 4.6255 90.00 90.00 90.00
Closest atoms and distances in Å follow each position.
Positions (direct):
Pt 0.5000 0.5000 0.5000  4 Au 3.27, 8 Ga 3.36
Cr 0.0000 0.0000 0.0000  4 Ga 2.31, 2 Au 2.43
Au 0.0000 0.5000 0.0000  2 Cr 2.43
Ga 0.0000 0.0000 0.5000  2 Cr 2.31
Ga 0.5000 0.0000 0.0000  2 Cr 2.31

Results
The total moment is 2.99 μB/f.u. As for the total energy: -20.79 eV/cell. The calculation puts the formation energy from the elements at 406 kJ/mol of formula units. The density of states at the Fermi level comes out at 4.3 states/eV/f.u. The calculation puts the mass density at 9.30 Mg/m³. For the volume, the calculation gives 20.83 Å³/atom.

No. 13
The following is a DFT calculation (PBE) of a relaxed structure of ZrHgRhBr2.

Lattice parameters (Å, degrees): 5.1436 5.8000 5.1436 90.00 90.00 90.00
Closest atoms and distances in Å follow each position.
Positions (direct):
Br 0.0000 0.0000 0.5000  2 Zr 2.57
Br 0.5000 0.0000 0.0000  2 Zr 2.57
Hg 0.0000 0.5000 0.0000  2 Zr 2.90
Zr 0.0000 0.0000 0.0000  4 Br 2.57
Rh 0.5000 0.5000 0.5000  4 Hg 3.64, 8 Br 3.88

Results
The total moment is 0.00 μB/f.u. As for the total energy: -17.21 eV/cell. The density of states at the Fermi level comes out at 6.6 states/eV/f.u. The calculation puts the mass density at 6.00 Mg/m³. For the raw formation energy, the calculation gives 0.468 eV/atom. For the volume, the calculation gives 30.69 Å³/atom.